# ZrCuC3 (PBE, relaxed)
# ΔH_f (0 K) = 1.7591 eV/atom
data_ZrCuC3
_cell_length_a 3.809
_cell_length_b 3.809
_cell_length_c 3.809
_cell_angle_alpha 90.00
_cell_angle_beta 90.00
_cell_angle_gamma 90.00
_space_group_name_H-M_alt 'P m -3 m'
_space_group_IT_number 221
_space_group_name_Hall '-P 4 2 3'
loop_
_atom_site_label
_atom_site_type_symbol
_atom_site_fract_x
_atom_site_fract_y
_atom_site_fract_z
Zr1 Zr 0.000 0.000 0.000
Cu1 Cu 0.500 0.500 0.500
C1 C 0.000 0.500 0.500

=====

# HfMnSeBr2 (PBE, relaxed)
# Raw formation energy = 473 meV/atom
data_HfMnSeBr2
_cell_length_a 4.720
_cell_length_b 4.720
_cell_length_c 4.844
_cell_angle_alpha 90.00
_cell_angle_beta 90.00
_cell_angle_gamma 90.00
_space_group_name_H-M_alt 'P 4/m m m'
_space_group_IT_number 123
_space_group_name_Hall '-P 4 2'
loop_
_atom_site_label
_atom_site_type_symbol
_atom_site_fract_x
_atom_site_fract_y
_atom_site_fract_z
Hf1 Hf 0.000 0.000 0.000
Mn1 Mn 0.500 0.500 0.500
Se1 Se 0.500 0.500 0.000
Br1 Br 0.000 0.500 0.500

=====

E / eV/atom: -6.3041, -4.7172
Energy relative to the lowest polymorph listed for this composition / eV/atom: 0.0000, 0.6984
DOS(E_F) / states/eV per cell: 2.8, 10.7